The following is a PBE calculation of a relaxed BaYPb2 crystal, from Alexandria.

a = 5.471 Å, b = 5.471 Å, c = 6.888 Å
α = 73.10°, β = 73.10°, γ = 49.66°
Sites, in units of the cell vectors:
1 Ba 0.250 0.250 0.250
2 Pb 0.011 0.011 0.925
3 Pb 0.489 0.489 0.575
4 Y 0.750 0.750 0.750

Calculated values
Formation energy (eV per atom): -0.4247
Calculated volume (Å³ per cell): 148.9



The following is a PBE calculation of a relaxed Tb8Sm5Er crystal, from Alexandria.

a = 8.471 Å, b = 8.479 Å, c = 8.471 Å
α = 110.82°, β = 106.72°, γ = 110.87°
Sites, in units of the cell vectors:
1 Tb 0.167 0.737 0.076
2 Tb 0.924 0.091 0.661
3 Tb 0.731 0.255 0.335
4 Tb 0.665 0.396 0.919
5 Tb 0.524 0.604 0.269
6 Tb 0.570 0.909 0.833
7 Tb 0.339 0.263 0.430
8 Tb 0.081 0.745 0.476
9 Sm 0.032 0.321 0.135
10 Sm 0.865 0.896 0.186
11 Sm 0.814 0.679 0.710
12 Sm 0.500 0.000 0.500
13 Sm 0.289 0.104 0.968
14 Er 0.250 0.500 0.750

Calculated values
Formation energy (eV per atom): 0.2478
Calculated volume (Å³ per cell): 467.7